VASP calculation (PBE+U) on a relaxed BaMn6O12 crystal.

* mass density: 4.88 Mg/m³
* density of states at the Fermi level: 9.7 states/eV/cell
* uncorrected energy: -7.2320 eV per atom

Lattice parameters (Å, degrees): 8.287 8.287 9.946 125.55 125.55 64.91
Positions (direct):
Ba 0.220 0.780 0.000
Ba 0.780 0.220 0.000
Mn 0.018 0.687 0.522
Mn 0.162 0.162 0.815
Mn 0.171 0.503 0.185
Mn 0.313 0.982 0.478
Mn 0.353 0.353 0.522
Mn 0.497 0.829 0.815
Mn 0.503 0.171 0.185
Mn 0.647 0.647 0.478
Mn 0.687 0.018 0.522
Mn 0.829 0.497 0.815
Mn 0.838 0.838 0.185
Mn 0.982 0.313 0.478
O 0.124 0.457 0.938
O 0.127 0.791 0.271
O 0.148 0.148 0.603
O 0.159 0.159 0.352
O 0.173 0.507 0.644
O 0.180 0.516 0.392
O 0.206 0.206 0.064
O 0.209 0.873 0.729
O 0.457 0.124 0.938
O 0.457 0.457 0.277
O 0.484 0.820 0.608
O 0.493 0.827 0.356
O 0.507 0.173 0.644
O 0.516 0.180 0.392
O 0.543 0.543 0.723
O 0.543 0.876 0.062
O 0.791 0.127 0.271
O 0.794 0.794 0.936
O 0.820 0.484 0.608
O 0.827 0.493 0.356
O 0.841 0.841 0.648
O 0.852 0.852 0.397
O 0.873 0.209 0.729
O 0.876 0.543 0.062